[1]
VASP calculation (PBE-GGA) on a relaxed Nd4Er8Tm3 crystal.

Values from the calculation:
Energy of formation ... 120 meV/atom
Relative energy among the computed polymorphs ... 0 meV per atom

Geometry as extended XYZ:
```
15
Lattice="6.082 0.000 3.280 2.156 5.687 3.280 -2.557 -1.765 12.021" Properties=species:S:1:pos:R:3 pbc="T T T"
Nd 0.000 0.000 0.000
Nd 0.239 0.165 14.114
Nd 2.841 1.961 9.291
Nd 5.442 3.757 4.467
Er 1.328 0.916 4.817
Er 2.464 3.814 6.326
Er 5.525 3.814 7.977
Er 4.439 0.951 6.326
Er 4.353 3.005 13.764
Er 3.217 0.108 12.255
Er 0.156 0.108 10.604
Er 1.242 2.970 12.255
Tm 1.762 -0.883 7.650
Tm -1.279 -0.883 6.010
Tm -0.200 1.961 7.650
```

[2]
VASP calculation (PBE-GGA) on a relaxed YBi3Ir crystal.

Values from the calculation:
Energy of formation ... 289 meV/atom
Relative energy among the computed polymorphs ... 0 meV per atom

Geometry as extended XYZ:
```
5
Lattice="-5.125 -0.244 -1.666 0.858 -4.971 -1.911 -1.449 -2.081 4.761" Properties=species:S:1:pos:R:3 pbc="T T T"
Y -2.857 -3.648 0.592
Ir 0.000 0.000 0.000
Bi 0.429 -2.485 -0.956
Bi -0.724 -1.040 2.381
Bi -2.562 -0.122 -0.833
```

[3]
VASP calculation (PBE-GGA) on a relaxed YTa2Cl crystal.

Values from the calculation:
Formation energy (no corrections) ... 1.17 eV/atom
Relative energy among the computed polymorphs ... 1359 meV per atom

Geometry as extended XYZ:
```
4
Lattice="0.000 3.447 3.447 3.447 0.000 3.447 3.447 3.447 0.000" Properties=species:S:1:pos:R:3 pbc="T T T"
Y 3.447 3.447 3.447
Cl 0.000 0.000 0.000
Ta 1.723 1.723 1.723
Ta 5.170 5.170 5.170
```

[4]
VASP calculation (PBE-GGA) on a relaxed Ac8SiIr3I3 crystal.

Values from the calculation:
Formation energy (no corrections) ... -0.86 eV/atom

Geometry as extended XYZ:
```
15
Lattice="8.960 -0.005 0.000 -4.484 7.758 -0.030 0.003 -5.141 8.346" Properties=species:S:1:pos:R:3 pbc="T T T"
Ac -0.003 2.590 2.567
Ac 4.481 0.023 5.749
Ac 4.477 2.469 2.570
Ac 0.002 0.143 5.746
Ac 6.616 -1.230 2.587
Ac -2.137 3.842 5.729
Ac 2.341 -1.228 2.585
Ac 2.137 3.840 5.731
Si 0.001 -2.570 4.173
Ir 4.481 -2.573 4.173
Ir 2.239 1.306 4.158
Ir -2.241 1.309 4.158
I 0.000 0.000 0.000
I -2.242 3.879 -0.015
I 2.238 3.877 -0.015
```

[5]
VASP calculation (PBE-GGA) on a relaxed TiZn2Ag crystal.

Values from the calculation:
Energy of formation ... -123 meV/atom

Geometry as extended XYZ:
```
4
Lattice="-0.820 -1.733 2.131 -1.932 -1.217 -1.733 5.263 -5.210 -2.211" Properties=species:S:1:pos:R:3 pbc="T T T"
Zn 3.933 -3.893 -1.652
Zn 1.330 -1.316 -0.559
Ag -1.376 -1.475 0.199
Ti 1.256 -4.080 -0.906
```

[6]
VASP calculation (PBE-GGA) on a relaxed NdEr5 crystal.

Values from the calculation:
Energy of formation ... 22 meV/atom
Relative energy among the computed polymorphs ... 0 meV per atom

Geometry as extended XYZ:
```
12
Lattice="5.973 -1.324 0.000 -2.743 6.523 0.000 0.000 0.000 10.587" Properties=species:S:1:pos:R:3 pbc="T T T"
Nd 3.107 2.266 2.647
Nd 0.122 2.933 7.940
Er 1.737 5.528 2.647
Er 1.493 -0.329 7.940
Er -1.250 6.190 4.418
Er 4.480 -0.991 9.711
Er 4.480 -0.991 6.169
Er -1.250 6.190 0.875
Er 0.122 2.930 4.416
Er 3.108 2.269 9.709
Er 3.108 2.269 6.171
Er 0.122 2.930 0.878
```

[7]
VASP calculation (PBE-GGA) on a relaxed LiCa2W4 crystal.

Values from the calculation:
Energy of formation ... 1666 meV/atom

Geometry as extended XYZ:
```
7
Lattice="-2.035 3.467 1.556 -3.592 -2.331 0.496 -0.500 -1.415 8.470" Properties=species:S:1:pos:R:3 pbc="T T T"
Ca -4.091 -0.180 6.995
Ca -2.036 -0.098 3.527
W -5.055 0.646 3.894
W -1.072 -0.924 6.628
W -1.796 -1.165 0.248
W -1.017 1.734 0.778
Li 0.000 0.000 0.000
```

[8]
VASP calculation (PBE-GGA) on a relaxed ZrTcMo crystal.

Values from the calculation:
Energy of formation ... -232 meV/atom
Relative energy among the computed polymorphs ... 0 meV per atom

Geometry as extended XYZ:
```
6
Lattice="-4.712 0.353 2.727 -1.224 -3.500 3.796 -0.105 1.543 5.076" Properties=species:S:1:pos:R:3 pbc="T T T"
Zr -4.630 -0.418 5.696
Zr -1.410 -1.185 5.903
Tc 0.000 0.000 0.000
Tc -2.356 0.177 1.363
Mo -2.968 -1.573 3.261
Mo -2.408 0.948 3.901
```

[9]
VASP calculation (PBE-GGA) on a relaxed Nd4SmMg crystal.

Values from the calculation:
Energy of formation ... 653 meV/atom
Relative energy among the computed polymorphs ... 677 meV per atom

Geometry as extended XYZ:
```
6
Lattice="-4.896 1.520 -2.622 2.768 -0.929 -5.708 -1.901 -6.123 -0.001" Properties=species:S:1:pos:R:3 pbc="T T T"
Nd -2.816 -3.657 -3.186
Nd 0.714 -5.805 -4.700
Nd -4.743 0.274 -3.630
Nd -1.213 -1.874 -5.145
Sm -2.448 0.760 -1.311
Mg 0.433 -3.526 -2.855
```

[10]
VASP calculation (PBE-GGA) on a relaxed KAlAsSe2 crystal.

Values from the calculation:
Formation energy (no corrections) ... -0.28 eV/atom
Relative energy among the computed polymorphs ... 0 meV per atom

Geometry as extended XYZ:
```
5
Lattice="-3.470 -2.255 3.092 0.473 -4.395 -2.674 3.575 -1.424 2.973" Properties=species:S:1:pos:R:3 pbc="T T T"
As 1.788 -0.712 1.487
K 0.289 -4.037 1.696
Se 0.237 -2.197 -1.337
Se -1.735 -1.128 1.546
Al 0.000 0.000 0.000
```

[11]
VASP calculation (PBE-GGA) on a relaxed TaTeIr crystal.

Values from the calculation:
Formation energy (no corrections) ... 0.02 eV/atom
Relative energy among the computed polymorphs ... 0 meV per atom

Geometry as extended XYZ:
```
3
Lattice="6.307 0.010 -0.010 5.526 3.041 -0.013 0.782 0.204 3.025" Properties=species:S:1:pos:R:3 pbc="T T T"
Ir 11.595 2.989 0.043
Ta 4.630 1.195 1.963
Te 8.222 2.121 0.973
```

[12]
VASP calculation (PBE-GGA) on a relaxed Ac8Ni3Pd2 crystal.

Values from the calculation:
Energy of formation ... -314 meV/atom

Geometry as extended XYZ:
```
13
Lattice="7.040 0.120 -1.813 -0.987 7.629 -3.327 -0.171 -0.765 8.852" Properties=species:S:1:pos:R:3 pbc="T T T"
Ac 0.131 2.390 5.440
Ac 5.751 4.594 -1.728
Ac -0.398 6.192 3.758
Ac 6.280 0.792 -0.047
Ac 1.972 6.533 -1.575
Ac 2.478 2.621 0.131
Ac 3.404 4.363 3.581
Ac 3.910 0.451 5.287
Ni 3.520 0.060 -0.907
Ni -0.250 1.932 -0.843
Ni -0.737 5.697 -2.484
Pd 3.892 5.395 0.659
Pd 1.990 1.589 3.053
```